*i*
BaGaNi2C | PBE | relaxed

Lattice parameters (Å, degrees): 4.3490 4.3490 6.3438 90.00 90.00 90.00
Element x y z (fractional)
Ba  0.0000  0.0000  0.0000
Ga  0.0000  0.0000  0.5000
Ni  0.0000  0.5000  0.5000
Ni  0.5000  0.0000  0.5000
C  0.5000  0.5000  0.0000

Output
spin magnetization = 0.00 μB/cell
symmetry = P4/mmm

---

*ii*
BaGaNi2C | PBE | relaxed

Lattice parameters (Å, degrees): 4.6967 4.6967 4.1300 90.00 90.00 90.00
Element x y z (fractional)
Ba  0.0000  0.0000  0.0000
Ga  0.5000  0.5000  0.5000
Ni  0.0000  0.5000  0.5000
Ni  0.5000  0.0000  0.5000
C  0.5000  0.5000  0.0000

Output
spin magnetization = 0.00 μB/cell
symmetry = P4/mmm

---

It comes down to *ii*, which is 0.577 eV/atom more stable than the next structure.

---

*i*
BaGe2C2 | PBE | relaxed

Lattice parameters (Å, degrees): 6.2189 6.2189 6.2189 142.08 142.08 54.71
Element x y z (fractional)
Ba  0.0000  0.0000  0.0000
Ge  0.2500  0.7500  0.5000
Ge  0.7500  0.2500  0.5000
C  0.3220  0.3220  0.0000
C  0.6780  0.6780  0.0000

Output
spin magnetization = 0.00 μB/cell
symmetry = I4/mmm

---

*ii*
BaGe2C2 | PBE | relaxed

Lattice parameters (Å, degrees): 6.7365 6.7365 5.0071 90.00 90.00 90.00
Element x y z (fractional)
Ba  0.0000  0.0000  0.0000
Ba  0.5000  0.5000  0.0000
Ge  0.1272  0.3728  0.5000
Ge  0.3728  0.8728  0.5000
Ge  0.6272  0.1272  0.5000
Ge  0.8728  0.6272  0.5000
C  0.0675  0.5675  0.0000
C  0.4325  0.0675  0.0000
C  0.5675  0.9325  0.0000
C  0.9325  0.4325  0.0000

Output
spin magnetization = 0.00 μB/cell
symmetry = P4/mbm

---

It comes down to *ii*, which is 0.139 eV/atom more stable than the next structure.

---

*i*
BaC3I | PBE | relaxed

Lattice parameters (Å, degrees): 5.2362 5.2362 5.2362 90.00 90.00 90.00
Element x y z (fractional)
Ba  0.0000  0.0000  0.0000
C  0.0000  0.0000  0.5000
C  0.0000  0.5000  0.0000
C  0.5000  0.0000  0.0000
I  0.5000  0.5000  0.5000

Output
spin magnetization = 5.05 μB/cell
symmetry = Pm-3m

---

*ii*
BaC3I | PBE | relaxed

Lattice parameters (Å, degrees): 4.4474 4.4474 4.4474 90.00 90.00 90.00
Element x y z (fractional)
Ba  0.0000  0.0000  0.0000
C  0.0000  0.5000  0.5000
C  0.5000  0.0000  0.5000
C  0.5000  0.5000  0.0000
I  0.5000  0.5000  0.5000

Output
spin magnetization = 0.00 μB/cell
symmetry = Pm-3m

---

It comes down to *ii*, which is 0.966 eV/atom more stable than the next structure.

---

*i*
Ba2CI | PBE | relaxed

Lattice parameters (Å, degrees): 7.4796 7.4796 7.4796 114.34 114.34 100.11
Element x y z (fractional)
Ba  0.0355  0.6250  0.9105
Ba  0.3750  0.2855  0.4105
Ba  0.7145  0.1250  0.0895
Ba  0.8750  0.9645  0.5895
C  0.0000  0.0000  0.0000
C  0.7500  0.2500  0.5000
I  0.2500  0.7500  0.5000
I  0.5000  0.5000  0.0000

Output
spin magnetization = 2.00 μB/cell
symmetry = I-42d

---

*ii*
Ba2CI | PBE | relaxed

Lattice parameters (Å, degrees): 5.6564 5.6564 5.6564 60.00 60.00 60.00
Element x y z (fractional)
Ba  0.2500  0.2500  0.2500
Ba  0.7500  0.7500  0.7500
C  0.0000  0.0000  0.0000
I  0.5000  0.5000  0.5000

Output
spin magnetization = 1.00 μB/cell
symmetry = Fm-3m

---

It comes down to *i*, which is 0.416 eV/atom more stable than the next structure.

---

*i*
BaCI2 | PBE | relaxed

Lattice parameters (Å, degrees): 5.8641 5.8641 5.8641 60.00 60.00 60.00
Element x y z (fractional)
Ba  0.0000  0.0000  0.0000
C  0.5000  0.5000  0.5000
I  0.2500  0.2500  0.2500
I  0.7500  0.7500  0.7500

Output
spin magnetization = 2.00 μB/cell
symmetry = Fm-3m

---

*ii*
BaCI2 | PBE | relaxed

Lattice parameters (Å, degrees): 9.1591 9.1591 9.1591 140.11 140.11 57.68
Element x y z (fractional)
Ba  0.0000  0.0000  0.0000
Ba  0.7500  0.2500  0.5000
C  0.2500  0.7500  0.5000
C  0.5000  0.5000  0.0000
I  0.2327  0.6250  0.1077
I  0.3750  0.4827  0.6077
I  0.5173  0.1250  0.8923
I  0.8750  0.7673  0.3923

Output
spin magnetization = 0.00 μB/cell
symmetry = I-42d

---

It comes down to *i*, which is 0.129 eV/atom more stable than the next structure.

---

*i*
BaCI2O | PBE | relaxed

Lattice parameters (Å, degrees): 5.8615 5.8615 3.7206 90.00 90.00 90.00
Element x y z (fractional)
Ba  0.0000  0.0000  0.0000
C  0.5000  0.5000  0.5000
I  0.0000  0.5000  0.5000
I  0.5000  0.0000  0.5000
O  0.5000  0.5000  0.0000

Output
spin magnetization = 0.00 μB/cell
symmetry = P4/mmm

---

*ii*
BaCI2O | PBE | relaxed

Lattice parameters (Å, degrees): 6.8202 6.8202 4.4948 90.00 90.00 90.00
Element x y z (fractional)
Ba  0.0000  0.0000  0.0000
C  0.5000  0.5000  0.5000
I  0.0000  0.5000  0.0000
I  0.5000  0.0000  0.0000
O  0.0000  0.0000  0.5000

Output
spin magnetization = 0.00 μB/cell
symmetry = P4/mmm

---

It comes down to *i*, which is 0.761 eV/atom more stable than the next structure.

---

*i*
BaTeCI2 | PBE | relaxed

Lattice parameters (Å, degrees): 6.6418 6.6418 6.9114 90.00 90.00 90.00
Element x y z (fractional)
Ba  0.0000  0.0000  0.0000
Te  0.0000  0.0000  0.5000
C  0.5000  0.5000  0.5000
I  0.0000  0.5000  0.0000
I  0.5000  0.0000  0.0000

Output
spin magnetization = 0.00 μB/cell
symmetry = P4/mmm

---

*ii*
BaTeCI2 | PBE | relaxed

Lattice parameters (Å, degrees): 5.3857 5.3857 5.0736 90.00 90.00 90.00
Element x y z (fractional)
Ba  0.0000  0.0000  0.0000
Te  0.5000  0.5000  0.0000
C  0.5000  0.5000  0.5000
I  0.0000  0.5000  0.5000
I  0.5000  0.0000  0.5000

Output
spin magnetization = 0.00 μB/cell
symmetry = P4/mmm

---

It comes down to *ii*, which is 1.149 eV/atom more stable than the next structure.

---

*i*
BaTe2CI | PBE | relaxed

Lattice parameters (Å, degrees): 4.9567 4.9567 5.8741 90.00 90.00 90.00
Element x y z (fractional)
Ba  0.0000  0.0000  0.0000
Te  0.0000  0.5000  0.5000
Te  0.5000  0.0000  0.5000
C  0.5000  0.5000  0.5000
I  0.5000  0.5000  0.0000

Output
spin magnetization = 0.52 μB/cell
symmetry = P4/mmm

---

*ii*
BaTe2CI | PBE | relaxed

Lattice parameters (Å, degrees): 6.9682 6.9682 6.6215 90.00 90.00 90.00
Element x y z (fractional)
Ba  0.0000  0.0000  0.0000
Te  0.0000  0.5000  0.0000
Te  0.5000  0.0000  0.0000
C  0.5000  0.5000  0.5000
I  0.0000  0.0000  0.5000

Output
spin magnetization = 1.00 μB/cell
symmetry = P4/mmm

---

It comes down to *i*, which is 1.180 eV/atom more stable than the next structure.

---

*i*
BaIn3C | PBE | relaxed

Lattice parameters (Å, degrees): 6.6258 6.6258 6.6258 90.00 90.00 90.00
Element x y z (fractional)
Ba  0.0000  0.0000  0.0000
In  0.0000  0.0000  0.5000
In  0.0000  0.5000  0.0000
In  0.5000  0.0000  0.0000
C  0.5000  0.5000  0.5000

Output
spin magnetization = 1.06 μB/cell
symmetry = Pm-3m

---

*ii*
BaIn3C | PBE | relaxed

Lattice parameters (Å, degrees): 5.1200 5.1200 5.1200 90.00 90.00 90.00
Element x y z (fractional)
Ba  0.0000  0.0000  0.0000
In  0.0000  0.5000  0.5000
In  0.5000  0.0000  0.5000
In  0.5000  0.5000  0.0000
C  0.5000  0.5000  0.5000

Output
spin magnetization = 0.00 μB/cell
symmetry = Pm-3m

---

It comes down to *ii*, which is 1.467 eV/atom more stable than the next structure.

---

*i*
BaIrC | PBE | relaxed

Lattice parameters (Å, degrees): 3.5267 3.5267 5.3996 90.00 90.00 120.00
Element x y z (fractional)
Ba  0.0000  0.0000  0.0000
Ir  0.6667  0.3333  0.5002
C  0.3333  0.6667  0.5010

Output
spin magnetization = 0.00 μB/cell
symmetry = P3m1

---

*ii*
BaIrC | PBE | relaxed

Lattice parameters (Å, degrees): 6.0907 6.0907 6.0907 90.00 90.00 90.00
Element x y z (fractional)
Ba  0.1340  0.1340  0.1340
Ba  0.3660  0.8660  0.6340
Ba  0.6340  0.3660  0.8660
Ba  0.8660  0.6340  0.3660
Ir  0.1469  0.3531  0.6469
Ir  0.3531  0.6469  0.1469
Ir  0.6469  0.1469  0.3531
Ir  0.8531  0.8531  0.8531
C  0.0975  0.5975  0.9025
C  0.4025  0.4025  0.4025
C  0.5975  0.9025  0.0975
C  0.9025  0.0975  0.5975

Output
spin magnetization = 0.00 μB/cell
symmetry = P2_13

---

It comes down to *i*, which is 0.046 eV/atom more stable than the next structure.

---

*i*
K3BaC | PBE | relaxed

Lattice parameters (Å, degrees): 7.9616 7.9616 7.9616 90.00 90.00 90.00
Element x y z (fractional)
K  0.0000  0.0000  0.5000
K  0.0000  0.5000  0.0000
K  0.5000  0.0000  0.0000
Ba  0.0000  0.0000  0.0000
C  0.5000  0.5000  0.5000

Output
spin magnetization = 0.01 μB/cell
symmetry = Pm-3m

---

*ii*
K3BaC | PBE | relaxed

Lattice parameters (Å, degrees): 6.2321 6.2321 6.2321 90.00 90.00 90.00
Element x y z (fractional)
K  0.0000  0.0000  0.5000
K  0.0000  0.5000  0.0000
K  0.5000  0.0000  0.0000
Ba  0.5000  0.5000  0.5000
C  0.0000  0.0000  0.0000

Output
spin magnetization = 0.89 μB/cell
symmetry = Pm-3m

---

It comes down to *ii*, which is 1.089 eV/atom more stable than the next structure.

---

*i*
KBaC3 | PBE | relaxed

Lattice parameters (Å, degrees): 5.7455 5.7455 5.7455 90.00 90.00 90.00
Element x y z (fractional)
K  0.0000  0.0000  0.0000
Ba  0.5000  0.5000  0.5000
C  0.0000  0.5000  0.5000
C  0.5000  0.0000  0.5000
C  0.5000  0.5000  0.0000

Output
spin magnetization = 9.00 μB/cell
symmetry = Pm-3m

---

*ii*
KBaC3 | PBE | relaxed

Lattice parameters (Å, degrees): 5.1921 5.1921 5.1921 90.00 90.00 90.00
Element x y z (fractional)
K  0.0000  0.0000  0.0000
Ba  0.5000  0.5000  0.5000
C  0.0000  0.0000  0.5000
C  0.0000  0.5000  0.0000
C  0.5000  0.0000  0.0000

Output
spin magnetization = 7.87 μB/cell
symmetry = Pm-3m

---

It comes down to *i*, which is 0.231 eV/atom more stable than the next structure.

---

*i*
BaLaC2 | PBE | relaxed

Lattice parameters (Å, degrees): 6.4281 6.4281 6.4281 115.00 115.00 98.90
Element x y z (fractional)
Ba  0.0000  0.0000  0.0000
Ba  0.7500  0.2500  0.5000
La  0.2500  0.7500  0.5000
La  0.5000  0.5000  0.0000
C  0.1752  0.6250  0.0502
C  0.3750  0.4252  0.5502
C  0.5748  0.1250  0.9498
C  0.8750  0.8248  0.4498

Output
spin magnetization = 2.59 μB/cell
symmetry = I-42d

---

*ii*
BaLaC2 | PBE | relaxed

Lattice parameters (Å, degrees): 4.8304 4.8304 4.8304 60.00 60.00 60.00
Element x y z (fractional)
Ba  0.0000  0.0000  0.0000
La  0.5000  0.5000  0.5000
C  0.2500  0.2500  0.2500
C  0.7500  0.7500  0.7500

Output
spin magnetization = 0.00 μB/cell
symmetry = Fm-3m

---

It comes down to *i*, which is 0.201 eV/atom more stable than the next structure.

---

*i*
BaLi3C | PBE | relaxed

Lattice parameters (Å, degrees): 5.2869 5.2869 5.2869 90.00 90.00 90.00
Element x y z (fractional)
Ba  0.0000  0.0000  0.0000
Li  0.0000  0.0000  0.5000
Li  0.0000  0.5000  0.0000
Li  0.5000  0.0000  0.0000
C  0.5000  0.5000  0.5000

Output
spin magnetization = 0.00 μB/cell
symmetry = Pm-3m

---

*ii*
BaLi3C | PBE | relaxed

Lattice parameters (Å, degrees): 4.4295 4.4295 4.4295 90.00 90.00 90.00
Element x y z (fractional)
Ba  0.0000  0.0000  0.0000
Li  0.0000  0.5000  0.5000
Li  0.5000  0.0000  0.5000
Li  0.5000  0.5000  0.0000
C  0.5000  0.5000  0.5000

Output
spin magnetization = 0.79 μB/cell
symmetry = Pm-3m

---

It comes down to *ii*, which is 1.892 eV/atom more stable than the next structure.